## K3FeCu2F9 (PBE with a Hubbard U)

Data for a relaxed structure of K3FeCu2F9. Values from VASP.

Geometry as Quantum ESPRESSO input:
```
&SYSTEM
  ibrav = 0, nat = 15, ntyp = 4
/
ATOMIC_SPECIES
K 39.10 K.upf
Fe 55.84 Fe.upf
Cu 63.55 Cu.upf
F 19.00 F.upf
CELL_PARAMETERS angstrom
5.849 0.000 0.000
-2.925 5.065 0.000
0.000 0.000 7.202
ATOMIC_POSITIONS angstrom
K 0.000 0.000 0.000
K 0.000 3.377 4.932
K 2.925 1.688 2.269
Fe 0.000 0.000 3.601
Cu 0.000 3.377 1.170
Cu 2.925 1.688 6.032
F -1.462 2.533 0.000
F 0.000 1.617 2.470
F -1.524 4.257 2.470
F 1.401 0.809 4.732
F 2.925 0.000 0.000
F 1.462 2.533 0.000
F 1.524 4.257 2.470
F 4.449 0.809 4.732
F 2.925 3.448 4.732
```

Values from the calculation:
For the total magnetization, the calculation gives 0.401 μB per atom. Its symmetry is P-3m1 (164). The final energy comes out at -4.5557 eV per atom. As for the calculated density: 3667 kg/m3.